1.
Below is a geometry-optimized MgHg3I structure, with properties calculated at the GGA-PBE level.

abc: 5.5720 5.5720 5.5720
angles: 90.00 90.00 90.00
Closest atoms and distances in Å follow each position.
Fractional coordinates of all 5 atoms:
I1 0.5000 0.5000 0.5000  12 Hg 3.94
Mg1 0.0000 0.0000 0.0000  6 Hg 2.79
Hg1 0.0000 0.5000 0.0000  2 Mg 2.79
Hg2 0.0000 0.0000 0.5000  2 Mg 2.79
Hg3 0.5000 0.0000 0.0000  2 Mg 2.79

Summary:
The total energy comes out at -4.53 eV/cell. For the energy relative to the elements, uncorrected, the calculation gives -96 meV/atom. Its distance to the lowest polymorph of the same formula is 0 meV per atom. Its size of the total moment is 0.00 Bohr magnetons per cell.



2.
Below is a geometry-optimized Hg3SeS structure, with properties calculated at the GGA-PBE level.

abc: 4.1936 6.4097 12.1109
angles: 87.75 90.00 90.00
Closest atoms and distances in Å follow each position.
Fractional coordinates of all 10 atoms:
Hg1 0.2500 0.1431 0.9289  3 Hg 3.17-3.24
Hg2 0.7500 0.8569 0.0711  3 Hg 3.17-3.24
Hg3 0.2500 0.0313 0.3529  2 S 2.57, 1 Se 2.60
Hg4 0.7500 0.9687 0.6471  2 S 2.57, 1 Se 2.60
Hg5 0.2500 0.4603 0.7214  1 S 2.49, 2 Se 2.66
Hg6 0.7500 0.5397 0.2786  1 S 2.49, 2 Se 2.66
Se1 0.2500 0.3340 0.2035  3 Hg 2.60-2.66
Se2 0.7500 0.6660 0.7965  3 Hg 2.60-2.66
S1 0.2500 0.1763 0.5866  3 Hg 2.49-2.57
S2 0.7500 0.8237 0.4134  3 Hg 2.49-2.57

Summary:
The total energy comes out at -17.94 eV/cell. For the energy relative to the elements, uncorrected, the calculation gives -91 meV/atom. Its distance to the lowest polymorph of the same formula is 0 meV per atom. Its size of the total moment is 0.00 Bohr magnetons per cell.



3.
Below is a geometry-optimized Th6SbAs2P3 structure, with properties calculated at the GGA-PBE level.

abc: 4.2189 8.5316 9.4980
angles: 103.49 102.83 90.00
Closest atoms and distances in Å follow each position.
Fractional coordinates of all 12 atoms:
Th1 0.3254 0.9228 0.6507  3 P 2.89-2.95, 2 As 3.06, 1 Sb 3.14
Th2 0.6638 0.5902 0.3276  3 P 2.94-2.95, 3 As 3.04-3.06
Th3 0.6746 0.0772 0.3493  3 P 2.89-2.95, 2 As 3.06, 1 Sb 3.14
Th4 0.9976 0.2718 0.9953  3 P 2.86-2.92, 1 As 3.06, 2 Sb 3.14
Th5 0.0024 0.7282 0.0047  3 P 2.86-2.92, 1 As 3.06, 2 Sb 3.14
Th6 0.3362 0.4098 0.6724  3 P 2.94-2.95, 3 As 3.04-3.06
Sb1 0.5000 0.0000 0.0000  6 Th 3.14
As1 0.8326 0.6669 0.6653  6 Th 3.04-3.06
As2 0.1674 0.3331 0.3347  6 Th 3.04-3.06
P1 0.5000 0.5000 0.0000  6 Th 2.86-2.95
P2 0.8353 0.1689 0.6707  6 Th 2.89-2.95
P3 0.1647 0.8311 0.3293  6 Th 2.89-2.95

Summary:
The total energy comes out at -90.76 eV/cell. For the energy relative to the elements, uncorrected, the calculation gives -1382 meV/atom. Its size of the total moment is 0.00 Bohr magnetons per cell.



4.
Below is a geometry-optimized LaHfMn3 structure, with properties calculated at the GGA-PBE level.

abc: 4.8945 4.8945 4.8945
angles: 90.00 90.00 90.00
Closest atoms and distances in Å follow each position.
Fractional coordinates of all 5 atoms:
Mn1 0.0000 0.5000 0.0000  2 Hf 2.45
Mn2 0.0000 0.0000 0.5000  2 Hf 2.45
Mn3 0.5000 0.0000 0.0000  2 Hf 2.45
Hf1 0.0000 0.0000 0.0000  6 Mn 2.45
La1 0.5000 0.5000 0.5000  12 Mn 3.46

Summary:
The total energy comes out at -38.45 eV/cell. The calculation puts the formation energy at 0.787 eV/atom. Its distance to the lowest polymorph of the same formula is 0 meV per atom. Its size of the total moment is 8.92 Bohr magnetons per cell.



5.
Below is a geometry-optimized LaMoP2 structure, with properties calculated at the GGA-PBE level.

abc: 4.9123 4.9123 4.9123
angles: 130.39 111.31 89.35
Closest atoms and distances in Å follow each position.
Fractional coordinates of all 4 atoms:
La1 0.7500 0.2500 0.5000  8 P 2.96-3.09
Mo1 0.2500 0.7500 0.5000  4 P 2.47
P1 0.0545 0.0545 0.0000  2 Mo 2.47, 1 P 2.73
P2 0.4455 0.4455 0.0000  2 Mo 2.47, 1 P 2.73

Summary:
The total energy comes out at -28.52 eV/cell. The calculation puts the formation energy at -0.486 eV/atom. Its distance to the lowest polymorph of the same formula is 358 meV per atom. Its size of the total moment is 0.01 Bohr magnetons per cell.



6.
Below is a geometry-optimized VTcIr structure, with properties calculated at the GGA-PBE level.

abc: 5.1485 4.7418 8.2225
angles: 90.00 122.14 90.00
Closest atoms and distances in Å follow each position.
Fractional coordinates of all 12 atoms:
Ir1 0.0076 0.7495 0.1685  4 V 2.66-2.73, 5 Tc 2.67-2.75, 3 Ir 2.73-2.74
Ir2 0.9924 0.7495 0.8315  4 V 2.66-2.73, 5 Tc 2.67-2.75, 3 Ir 2.73-2.74
Ir3 0.0076 0.2495 0.6685  4 V 2.66-2.73, 5 Tc 2.67-2.75, 3 Ir 2.73-2.74
Ir4 0.9924 0.2495 0.3315  4 V 2.66-2.73, 5 Tc 2.67-2.75, 3 Ir 2.73-2.74
Tc1 0.0000 0.2494 0.0000  4 V 2.67-2.72, 2 Tc 2.69, 6 Ir 2.74-2.75
Tc2 0.0000 0.7494 0.5000  4 V 2.67-2.72, 2 Tc 2.69, 6 Ir 2.74-2.75
Tc3 0.5000 0.5812 0.5000  4 Ir 2.67-2.72, 2 Tc 2.69, 6 V 2.72-2.76
Tc4 0.5000 0.0812 0.0000  4 Ir 2.67-2.72, 2 Tc 2.69, 6 V 2.72-2.76
V1 0.5052 0.5857 0.1689  4 Ir 2.66-2.73, 5 Tc 2.67-2.76, 3 V 2.73-2.75
V2 0.4948 0.5857 0.8311  4 Ir 2.66-2.73, 5 Tc 2.67-2.76, 3 V 2.73-2.75
V3 0.5052 0.0857 0.6689  4 Ir 2.66-2.73, 5 Tc 2.67-2.76, 3 V 2.73-2.75
V4 0.4948 0.0857 0.3311  4 Ir 2.66-2.73, 5 Tc 2.67-2.76, 3 V 2.73-2.75

Summary:
The total energy comes out at -116.61 eV/cell. The calculation puts the formation energy at -0.269 eV/atom. Its distance to the lowest polymorph of the same formula is 19 meV per atom. Its size of the total moment is 0.00 Bohr magnetons per cell.



7.
Below is a geometry-optimized Ni2HgCl structure, with properties calculated at the GGA-PBE level.

abc: 3.1574 3.1574 7.8350
angles: 90.00 90.00 122.08
Closest atoms and distances in Å follow each position.
Fractional coordinates of all 4 atoms:
Cl1 0.5000 0.5000 0.2500  4 Ni 2.35
Hg1 0.5000 0.5000 0.7500  4 Ni 2.63
Ni1 0.0000 0.0000 0.0229  2 Cl 2.35
Ni2 0.0000 0.0000 0.4771  2 Cl 2.35

Summary:
The total energy comes out at -12.37 eV/cell. For the energy relative to the elements, uncorrected, the calculation gives 334 meV/atom. Its distance to the lowest polymorph of the same formula is 255 meV per atom. Its size of the total moment is 0.87 Bohr magnetons per cell.



8.
Below is a geometry-optimized Pm4PtSeCl2 structure, with properties calculated at the GGA-PBE level.

abc: 4.1069 7.2046 7.4870
angles: 71.17 90.00 90.00
Closest atoms and distances in Å follow each position.
Fractional coordinates of all 8 atoms:
Pm1 0.0000 0.7254 0.7741  2 Pt 2.82, 3 Cl 2.99-3.12, 1 Se 3.00
Pm2 0.0000 0.2746 0.2259  2 Pt 2.82, 3 Cl 2.99-3.12, 1 Se 3.00
Pm3 0.5000 0.7347 0.2504  1 Pt 2.90, 2 Se 2.92, 3 Cl 3.01-3.07
Pm4 0.5000 0.2653 0.7496  1 Pt 2.90, 2 Se 2.92, 3 Cl 3.01-3.07
Pt1 0.5000 0.5000 0.0000  6 Pm 2.82-2.90
Se1 0.0000 0.5000 0.5000  6 Pm 2.92-3.00
Cl1 0.0000 0.0000 0.0000  6 Pm 2.99-3.01
Cl2 0.5000 0.0000 0.5000  6 Pm 3.07-3.12

Summary:
The total energy comes out at -43.86 eV/cell. For the energy relative to the elements, uncorrected, the calculation gives -1455 meV/atom. Its size of the total moment is 0.00 Bohr magnetons per cell.



total energy of number 6 (VTcIr)? -116.61 eV/cell